The following is a DFT calculation (PBE-GGA) of a relaxed structure of MnNbHOs2.

Values from the calculation:
Symmetry = P4/mmm

Cell lengths 3.971, 3.971, 3.857 Å; angles 90.00, 90.00, 90.00 degrees
Site moments in Bohr magnetons follow the coordinates.
Sites, in units of the cell vectors:
H (0.000, 0.000, 0.000)  -0.01
Nb (0.500, 0.500, 0.500)  -0.19
Mn (0.000, 0.000, 0.500)  2.32
Os (0.000, 0.500, 0.000)  0.02
Os (0.500, 0.000, 0.000)  0.02



The following is a DFT calculation (PBE-GGA) of a relaxed structure of MnNb2HPt.

Values from the calculation:
Symmetry = P4/mmm

Cell lengths 4.079, 4.079, 3.939 Å; angles 90.00, 90.00, 90.00 degrees
Site moments in Bohr magnetons follow the coordinates.
Sites, in units of the cell vectors:
H (0.000, 0.000, 0.000)  -0.01
Nb (0.000, 0.500, 0.000)  -0.18
Nb (0.500, 0.000, 0.000)  -0.18
Mn (0.000, 0.000, 0.500)  2.00
Pt (0.500, 0.500, 0.500)  -0.08



Total magnetization across the listed records, respectively: 2.24 1.58 μB/f.u..
DFT total energy across the listed records, respectively: -9.0326 -8.0111 eV/atom.